CaTl2Cr3F12 | PBE with a Hubbard U | optimized geometry

Geometry as POSCAR:
```
CaTl2Cr3F12
1.0
7.491 -0.084 -0.060
3.626 6.555 -0.060
3.626 2.111 6.207
Ca Tl Cr F
1 2 3 12
Cartesian
0.000 0.000 0.000
9.508 5.534 3.925
5.236 3.048 2.162
3.746 -0.042 -0.030
1.813 3.278 -0.030
1.813 1.055 3.103
6.678 3.887 5.720
11.388 6.629 2.153
9.297 7.817 5.544
9.110 2.506 1.778
11.388 4.224 5.544
6.678 6.684 1.778
8.066 4.695 0.367
3.355 1.953 3.934
5.447 0.765 0.543
5.634 6.076 4.310
3.355 4.358 0.543
8.066 1.898 4.310
```

SG: R-3m (166)
DOS(E_F), states/eV/cell: 4.13
E, eV for the cell shown: -100.7